Entry 1:
Material: Y4GaBiN
Method: DFT, PBE-GGA
State: relaxed

CIF file:
```
data_Y4GaBiN
_chemical_formula_sum 'Y8 Ga2 Bi2 N2'
_symmetry_space_group_name_H-M 'P 1'
_symmetry_Int_Tables_number 1
_cell_length_a 6.626
_cell_length_b 6.643
_cell_length_c 8.579
_cell_angle_alpha 90.00
_cell_angle_beta 112.72
_cell_angle_gamma 90.00
loop_
_symmetry_equiv_pos_as_xyz
'x,y,z'
loop_
_atom_site_label
_atom_site_type_symbol
_atom_site_fract_x
_atom_site_fract_y
_atom_site_fract_z
Y1 Y 0.918 0.250 0.836
Y2 Y 0.406 0.750 0.812
Y3 Y 0.082 0.750 0.164
Y4 Y 0.594 0.250 0.188
Y5 Y 0.500 0.500 0.500
Y6 Y 0.000 0.000 0.500
Y7 Y 0.500 0.000 0.500
Y8 Y 0.000 0.500 0.500
Ga1 Ga 0.115 0.250 0.229
Ga2 Ga 0.885 0.750 0.771
Bi1 Bi 0.604 0.750 0.208
Bi2 Bi 0.396 0.250 0.792
N1 N 0.247 0.750 0.494
N2 N 0.753 0.250 0.506
```

Values from the calculation:
Symmetry = Cmcm
Raw formation energy = -898 meV/atom
Crystal system = orthorhombic

Entry 2:
Material: NaGa2Bi2
Method: DFT, PBE-GGA
State: relaxed

CIF file:
```
data_NaGa2Bi2
_chemical_formula_sum 'Na1 Ga2 Bi2'
_symmetry_space_group_name_H-M 'P 1'
_symmetry_Int_Tables_number 1
_cell_length_a 4.794
_cell_length_b 4.794
_cell_length_c 7.004
_cell_angle_alpha 77.12
_cell_angle_beta 77.12
_cell_angle_gamma 79.29
loop_
_symmetry_equiv_pos_as_xyz
'x,y,z'
loop_
_atom_site_label
_atom_site_type_symbol
_atom_site_fract_x
_atom_site_fract_y
_atom_site_fract_z
Na1 Na 0.000 0.000 0.000
Ga1 Ga 0.760 0.240 0.500
Ga2 Ga 0.240 0.760 0.500
Bi1 Bi 0.670 0.670 0.755
Bi2 Bi 0.330 0.330 0.245
```

Values from the calculation:
Symmetry = C2/m
Excess energy over the best structure of this formula in the dataset = 0 meV/atom
Crystal system = monoclinic
ΔH_f (0 K) = -0.079 eV/atom

Entry 3:
Material: Na2GaBi
Method: DFT, PBE-GGA
State: relaxed

CIF file:
```
data_Na2GaBi
_chemical_formula_sum 'Na2 Ga1 Bi1'
_symmetry_space_group_name_H-M 'P 1'
_symmetry_Int_Tables_number 1
_cell_length_a 3.474
_cell_length_b 3.474
_cell_length_c 11.409
_cell_angle_alpha 81.24
_cell_angle_beta 81.24
_cell_angle_gamma 60.00
loop_
_symmetry_equiv_pos_as_xyz
'x,y,z'
loop_
_atom_site_label
_atom_site_type_symbol
_atom_site_fract_x
_atom_site_fract_y
_atom_site_fract_z
Na1 Na 0.089 0.089 0.733
Na2 Na 0.911 0.911 0.267
Bi1 Bi 0.500 0.500 0.500
Ga1 Ga 0.000 0.000 0.000
```

Values from the calculation:
Symmetry = R-3m
Crystal system = trigonal
ΔH_f (0 K) = 0.030 eV/atom